Model P:
This record from Alexandria describes BeIn2Pb after structural relaxation. The functional is PBE.

Computed properties:
density of states at the Fermi level: 0.417 states/eV per atom

a = 8.5014 Å, b = 8.5014 Å, c = 5.4590 Å
α = 90.00°, β = 90.00°, γ = 90.00°
Closest atoms and distances in Å follow each position.
Space group I-42d (No. 122)
One atom of each set of equivalent atoms:
Be: 0.0000 0.0000 0.0000  4 In 2.61, 2 Pb 2.73
In: 0.1594 0.2500 0.1250  2 Be 2.61
Pb: 0.0000 0.0000 0.5000  2 Be 2.73

Model Q:
This record from Alexandria describes BeIn2Pb after structural relaxation. The functional is PBE.

Computed properties:
density of states at the Fermi level: 0.340 states/eV per atom

a = 4.7770 Å, b = 4.7770 Å, c = 8.5263 Å
α = 90.00°, β = 90.00°, γ = 90.00°
Closest atoms and distances in Å follow each position.
Space group I-4m2 (No. 119)
One atom of each set of equivalent atoms:
Be: 0.0000 0.0000 0.0000  8 In 3.20-3.38, 4 Pb 3.20
In: 0.0000 0.0000 0.5000  4 In 3.20, 4 Pb 3.20, 4 Be 3.38
In: 0.0000 0.5000 0.7500  4 In 3.20, 4 Be 3.20, 4 Pb 3.38
Pb: 0.0000 0.5000 0.2500  8 In 3.20-3.38, 4 Be 3.20

Model R:
This record from Alexandria describes BeIn2Pb after structural relaxation. The functional is PBE.

Computed properties:
density of states at the Fermi level: 0.394 states/eV per atom

a = 4.3186 Å, b = 4.3186 Å, c = 10.4097 Å
α = 90.00°, β = 90.00°, γ = 90.00°
Closest atoms and distances in Å follow each position.
Space group I4/mmm (No. 139)
One atom of each set of equivalent atoms:
Be: 0.0000 0.0000 0.0000  4 Pb 3.05, 8 In 3.38
In: 0.0000 0.5000 0.2500  4 In 3.05, 4 Pb 3.38, 4 Be 3.38
Pb: 0.0000 0.0000 0.5000  4 Be 3.05, 8 In 3.38

The structure with the greatest stability is model P.

Model P:
This record from Alexandria describes BeIn2Pb after structural relaxation. The functional is PBE.

Computed properties:
density of states at the Fermi level: 0.410 states/eV per atom

a = 4.3663 Å, b = 4.3663 Å, c = 5.1083 Å
α = 90.00°, β = 90.00°, γ = 90.00°
Closest atoms and distances in Å follow each position.
Space group P4/mmm (No. 123)
One atom of each set of equivalent atoms:
Be: 0.0000 0.0000 0.0000  4 Pb 3.09, 8 In 3.36
In: 0.0000 0.5000 0.5000  4 In 3.09, 4 Pb 3.36, 4 Be 3.36
Pb: 0.5000 0.5000 0.0000  4 Be 3.09, 8 In 3.36

Model Q:
This record from Alexandria describes BeIn2Pb after structural relaxation. The functional is PBE.

Computed properties:
density of states at the Fermi level: 0.312 states/eV per atom

a = 3.2959 Å, b = 3.2959 Å, c = 8.8176 Å
α = 90.00°, β = 90.00°, γ = 90.00°
Closest atoms and distances in Å follow each position.
Space group P4mm (No. 99)
One atom of each set of equivalent atoms:
Be: 0.0000 0.0000 0.0000  4 In 2.81, 4 Pb 2.96
In: 0.0000 0.0000 0.5314  8 In 3.30-3.46
In: 0.5000 0.5000 0.8213  4 Be 2.81
Pb: 0.5000 0.5000 0.2062  4 Be 2.96, 4 Pb 3.30

Model R:
This record from Alexandria describes BeIn2Pb after structural relaxation. The functional is PBE.

Computed properties:
density of states at the Fermi level: 0.396 states/eV per atom

a = 7.3304 Å, b = 7.3304 Å, c = 7.3304 Å
α = 90.00°, β = 90.00°, γ = 90.00°
Closest atoms and distances in Å follow each position.
Space group F-43m (No. 216)
One atom of each set of equivalent atoms:
Be: 0.0000 0.0000 0.0000  4 In 3.17, 4 Pb 3.17
In: 0.0000 0.0000 0.5000  4 In 3.17, 4 Pb 3.17
In: 0.2500 0.2500 0.2500  4 In 3.17, 4 Be 3.17
Pb: 0.2500 0.2500 0.7500  4 In 3.17, 4 Be 3.17

The structure with the greatest stability is model Q.

Model P:
This record from Alexandria describes BeIn2Pb after structural relaxation. The functional is PBE.

Computed properties:
density of states at the Fermi level: 0.390 states/eV per atom

a = 7.3518 Å, b = 7.3518 Å, c = 7.3518 Å
α = 90.00°, β = 90.00°, γ = 90.00°
Closest atoms and distances in Å follow each position.
Space group Fm-3m (No. 225)
One atom of each set of equivalent atoms:
Be: 0.0000 0.0000 0.0000  8 In 3.18
In: 0.2500 0.2500 0.2500  4 Pb 3.18, 4 Be 3.18
Pb: 0.0000 0.0000 0.5000  8 In 3.18

Model Q:
This record from Alexandria describes BeIn2Pb after structural relaxation. The functional is PBE.

Computed properties:
density of states at the Fermi level: 0.445 states/eV per atom

a = 4.2478 Å, b = 5.1611 Å, c = 8.5921 Å
α = 90.00°, β = 90.00°, γ = 90.00°
Closest atoms and distances in Å follow each position.
Space group Cmmm (No. 65)
One atom of each set of equivalent atoms:
Be: 0.0000 0.0000 0.0000  4 In 2.67
In: 0.0000 0.5000 0.1887  2 Be 2.67
Pb: 0.0000 0.0000 0.5000  4 Pb 3.34, 8 In 3.42-3.72

The structure with the greatest stability is model Q.

Model P:
This record from Alexandria describes BeInPb after structural relaxation. The functional is PBE.

Computed properties:
density of states at the Fermi level: 0.391 states/eV per atom

a = 13.0083 Å, b = 3.3090 Å, c = 3.2557 Å
α = 90.00°, β = 100.18°, γ = 90.00°
Closest atoms and distances in Å follow each position.
Space group Cm (No. 8)
One atom of each set of equivalent atoms:
Be: 0.0000 0.0000 0.0000  4 In 2.72-2.77, 2 Pb 2.78
In: 0.1143 0.5000 0.5662  4 Be 2.72-2.77
Pb: 0.3421 0.0000 0.5944  2 Be 2.78

Model Q:
This record from Alexandria describes BeInPb after structural relaxation. The functional is PBE.

Computed properties:
density of states at the Fermi level: 0.707 states/eV per atom

a = 6.5346 Å, b = 6.5346 Å, c = 6.5346 Å
α = 90.00°, β = 90.00°, γ = 90.00°
Closest atoms and distances in Å follow each position.
Space group F-43m (No. 216)
One atom of each set of equivalent atoms:
Be: 0.0000 0.0000 0.0000  4 Pb 2.83, 4 In 2.83
In: 0.2500 0.2500 0.2500  4 Be 2.83
Pb: 0.2500 0.2500 0.7500  4 Be 2.83

The structure with the greatest stability is model Q.

Model P:
This record from Alexandria describes BeInPb after structural relaxation. The functional is PBE.

Computed properties:
density of states at the Fermi level: 0.234 states/eV per atom

a = 4.2434 Å, b = 4.9867 Å, c = 12.8954 Å
α = 90.00°, β = 90.00°, γ = 90.00°
Closest atoms and distances in Å follow each position.
Space group Fmm2 (No. 42)
One atom of each set of equivalent atoms:
Be: 0.0000 0.0000 0.0000  4 In 2.67-2.97, 2 Pb 2.86
In: 0.0000 0.0000 0.3748  4 Be 2.67-2.97
Pb: 0.0000 0.0000 0.6484  4 Be 2.86-3.14

Model Q:
This record from Alexandria describes BeInPb after structural relaxation. The functional is PBE.

Computed properties:
density of states at the Fermi level: 0.421 states/eV per atom

a = 4.1879 Å, b = 4.1879 Å, c = 4.6611 Å
α = 90.00°, β = 90.00°, γ = 120.00°
Closest atoms and distances in Å follow each position.
Space group P3m1 (No. 156)
One atom of each set of equivalent atoms:
Be: 0.0000 0.0000 0.0000  3 In 2.60, 3 Pb 2.79
In: 0.6667 0.3333 0.2041  3 Be 2.60
Pb: 0.3333 0.6667 0.7024  3 Be 2.79

The structure with the greatest stability is model Q.

Model P:
This record from Alexandria describes BeIn3Pb after structural relaxation. The functional is PBE.

Computed properties:
density of states at the Fermi level: 0.708 states/eV per atom

a = 5.0425 Å, b = 5.0425 Å, c = 5.0425 Å
α = 90.00°, β = 90.00°, γ = 90.00°
Closest atoms and distances in Å follow each position.
Space group Pm-3m (No. 221)
One atom of each set of equivalent atoms:
Be: 0.0000 0.0000 0.0000  6 In 2.52
In: 0.0000 0.0000 0.5000  2 Be 2.52
Pb: 0.5000 0.5000 0.5000  12 In 3.57

Model Q:
This record from Alexandria describes BeIn3Pb after structural relaxation. The functional is PBE.

Computed properties:
density of states at the Fermi level: 0.897 states/eV per atom

a = 5.8807 Å, b = 5.8807 Å, c = 5.8807 Å
α = 90.00°, β = 90.00°, γ = 90.00°
Closest atoms and distances in Å follow each position.
Space group Pm-3m (No. 221)
One atom of each set of equivalent atoms:
Be: 0.0000 0.0000 0.0000  12 In 4.16
In: 0.0000 0.5000 0.5000  2 Pb 2.94
Pb: 0.5000 0.5000 0.5000  6 In 2.94

The structure with the greatest stability is model P.